Entry 1:
## MoIr2Ru (GGA-PBEsol)

Data for a relaxed structure of MoIr2Ru. Values from VASP.

- E_tot (eV per atom) = -10.563
- crystal system = orthorhombic
- offset from the most stable computed form (eV per atom) = 0.102
- ΔH_f (0 K) (meV per atom) = -166.7
- total moment (μB per formula unit) = 0.0
- mass density (Mg/m³) = 17.117

The structure in Quantum ESPRESSO input format:
```
&SYSTEM
  ibrav = 0, nat = 4, ntyp = 3
/
ATOMIC_SPECIES
Mo 95.94 Mo.upf
Ir 192.22 Ir.upf
Ru 101.07 Ru.upf
CELL_PARAMETERS angstrom
2.7026 0.0000 0.0000
0.0000 3.8560 0.0000
0.0000 0.0000 5.4125
ATOMIC_POSITIONS crystal
Mo 0.0000 0.0000 0.0000
Ir 0.5000 0.5000 0.2553
Ir 0.5000 0.5000 0.7447
Ru 0.0000 0.0000 0.5000
```

***

Entry 2:
## CdMo3 (GGA-PBEsol)

Data for a relaxed structure of CdMo3. Values from VASP.

- E_tot (eV per atom) = -8.583
- crystal system = cubic
- offset from the most stable computed form (eV per atom) = 0.321
- ΔH_f (0 K) (meV per atom) = 541.7
- total moment (μB per formula unit) = 0.0
- mass density (Mg/m³) = 10.305

The structure in Quantum ESPRESSO input format:
```
&SYSTEM
  ibrav = 0, nat = 4, ntyp = 2
/
ATOMIC_SPECIES
Cd 112.41 Cd.upf
Mo 95.94 Mo.upf
CELL_PARAMETERS angstrom
0.0000 3.1829 3.1829
3.1829 0.0000 3.1829
3.1829 3.1829 0.0000
ATOMIC_POSITIONS crystal
Cd 0.0000 0.0000 0.0000
Mo 0.2500 0.2500 0.2500
Mo 0.5000 0.5000 0.5000
Mo 0.7500 0.7500 0.7500
```

***

Repeat the first record exactly.
## MoIr2Ru (GGA-PBEsol)

Data for a relaxed structure of MoIr2Ru. Values from VASP.

- E_tot (eV per atom) = -10.563
- crystal system = orthorhombic
- offset from the most stable computed form (eV per atom) = 0.102
- ΔH_f (0 K) (meV per atom) = -166.7
- total moment (μB per formula unit) = 0.0
- mass density (Mg/m³) = 17.117

The structure in Quantum ESPRESSO input format:
```
&SYSTEM
  ibrav = 0, nat = 4, ntyp = 3
/
ATOMIC_SPECIES
Mo 95.94 Mo.upf
Ir 192.22 Ir.upf
Ru 101.07 Ru.upf
CELL_PARAMETERS angstrom
2.7026 0.0000 0.0000
0.0000 3.8560 0.0000
0.0000 0.0000 5.4125
ATOMIC_POSITIONS crystal
Mo 0.0000 0.0000 0.0000
Ir 0.5000 0.5000 0.2553
Ir 0.5000 0.5000 0.7447
Ru 0.0000 0.0000 0.5000
```

***

Q: offset from the most stable computed form of number 2 (CdMo3)?
A: 0.321 eV per atom

***

Copy entry 2 word for word.
## CdMo3 (GGA-PBEsol)

Data for a relaxed structure of CdMo3. Values from VASP.

- E_tot (eV per atom) = -8.583
- crystal system = cubic
- offset from the most stable computed form (eV per atom) = 0.321
- ΔH_f (0 K) (meV per atom) = 541.7
- total moment (μB per formula unit) = 0.0
- mass density (Mg/m³) = 10.305

The structure in Quantum ESPRESSO input format:
```
&SYSTEM
  ibrav = 0, nat = 4, ntyp = 2
/
ATOMIC_SPECIES
Cd 112.41 Cd.upf
Mo 95.94 Mo.upf
CELL_PARAMETERS angstrom
0.0000 3.1829 3.1829
3.1829 0.0000 3.1829
3.1829 3.1829 0.0000
ATOMIC_POSITIONS crystal
Cd 0.0000 0.0000 0.0000
Mo 0.2500 0.2500 0.2500
Mo 0.5000 0.5000 0.5000
Mo 0.7500 0.7500 0.7500
```